Here is a relaxed CrCd2Si crystal from Alexandria. Energies are from PBE-GGA.

abc: 9.558 9.558 9.558
angles: 17.72 17.72 17.72
Each line ends with the local moment (μB).
Element x y z (fractional)
1 Cd 0.006 0.006 0.006  0.01
2 Cd 0.241 0.241 0.241  -0.01
3 Si 0.762 0.762 0.762  -0.01
4 Cr 0.491 0.491 0.491  1.89

## Properties
Size of the total moment in μB/f.u.: 2.0
E_form (uncorrected) in eV/atom: 0.312
Total DFT energy (no corrections) in eV/atom: -3.907


Here is a relaxed CrCd2Si crystal from Alexandria. Energies are from PBE-GGA.

abc: 5.281 3.031 4.725
angles: 91.78 90.00 90.00
Each line ends with the local moment (μB).
Element x y z (fractional)
1 Cd 0.000 0.988 0.002  0.01
2 Si 0.500 0.750 0.750  -0.12
3 Cr 0.500 0.250 0.250  3.42
4 Cd 0.000 0.512 0.498  0.01

## Properties
Size of the total moment in μB/f.u.: 3.6
E_form (uncorrected) in eV/atom: 0.410
Total DFT energy (no corrections) in eV/atom: -3.809


Here is a relaxed Cr2CdSi crystal from Alexandria. Energies are from PBE-GGA.

abc: 4.198 4.198 3.520
angles: 90.00 90.00 90.00
Each line ends with the local moment (μB).
Element x y z (fractional)
1 Cd 0.000 0.500 0.500  -0.01
2 Si 0.500 0.000 0.500  -0.14
3 Cr 0.000 0.000 0.000  2.93
4 Cr 0.500 0.500 0.000  2.93

## Properties
Size of the total moment in μB/f.u.: 6.1
E_form (uncorrected) in eV/atom: 0.396
Total DFT energy (no corrections) in eV/atom: -6.001


Here is a relaxed CrCdSi2 crystal from Alexandria. Energies are from PBE-GGA.

abc: 8.565 8.565 8.565
angles: 19.65 19.65 19.65
Element x y z (fractional)
1 Cd 0.250 0.250 0.250
2 Cr 0.750 0.750 0.750
3 Si 0.015 0.015 0.015
4 Si 0.485 0.485 0.485

## Properties
Size of the total moment in μB/f.u.: 0.0
E_form (uncorrected) in eV/atom: 0.182
Total DFT energy (no corrections) in eV/atom: -5.164


> Which formula does entry 2 have?

CrCd2Si


> Which value of size of the total moment does entry 1 give?

2.0 μB/f.u.


Copy entry 2 word for word.
Here is a relaxed CrCd2Si crystal from Alexandria. Energies are from PBE-GGA.

abc: 5.281 3.031 4.725
angles: 91.78 90.00 90.00
Each line ends with the local moment (μB).
Element x y z (fractional)
1 Cd 0.000 0.988 0.002  0.01
2 Si 0.500 0.750 0.750  -0.12
3 Cr 0.500 0.250 0.250  3.42
4 Cd 0.000 0.512 0.498  0.01

## Properties
Size of the total moment in μB/f.u.: 3.6
E_form (uncorrected) in eV/atom: 0.410
Total DFT energy (no corrections) in eV/atom: -3.809